Record 1
# K5LiGe2O7, optimized geometry, DFT PBE
data_K5LiGe2O7
_cell_length_a 6.329
_cell_length_b 16.110
_cell_length_c 10.750
_cell_angle_alpha 90.00
_cell_angle_beta 109.66
_cell_angle_gamma 90.00
_space_group_name_H-M_alt 'P 1 21/c 1'
_space_group_IT_number 14
_space_group_name_Hall '-P 2ybc'
loop_
_atom_site_label
_atom_site_type_symbol
_atom_site_fract_x
_atom_site_fract_y
_atom_site_fract_z
K1 K 0.201 0.164 0.414
K2 K 0.237 0.557 0.420
K3 K 0.252 0.568 0.082
K4 K 0.271 0.132 0.765
K5 K 0.282 0.154 0.108
Li1 Li 0.203 0.720 0.604
Ge1 Ge 0.235 0.554 0.746
Ge2 Ge 0.268 0.734 0.888
O1 O 0.023 0.718 0.929
O2 O 0.050 0.611 0.612
O3 O 0.090 0.009 0.325
O4 O 0.232 0.703 0.248
O5 O 0.398 0.633 0.869
O6 O 0.438 0.000 0.196
O7 O 0.466 0.719 0.530
# ΔE_f (raw)   -1.77 eV per atom
# Energy   -5.1953 eV per atom

=====

Record 2
# La3VH, optimized geometry, DFT PBE
data_La3VH
_cell_length_a 5.048
_cell_length_b 5.048
_cell_length_c 5.048
_cell_angle_alpha 90.00
_cell_angle_beta 90.00
_cell_angle_gamma 90.00
_space_group_name_H-M_alt 'P m -3 m'
_space_group_IT_number 221
_space_group_name_Hall '-P 4 2 3'
loop_
_atom_site_label
_atom_site_type_symbol
_atom_site_fract_x
_atom_site_fract_y
_atom_site_fract_z
La1 La 0.000 0.000 0.500
V1 V 0.500 0.500 0.500
H1 H 0.000 0.000 0.000
# Energy   -5.2848 eV per atom
# Relative energy among the computed polymorphs   0.0 kJ/mol of atoms